Here is KMnAs2O8 after structural relaxation from Alexandria via LeMat-Bulk. Energies are from PBE+U.

Cell and atoms, written as POSCAR:
```
KMnAs2O8
1.0
5.065 0.000 0.000
-2.532 4.386 0.000
0.000 0.000 7.874
K Mn As O
1 1 2 8
Cartesian
0.000 0.000 0.000 K
0.000 0.000 3.937 Mn
0.000 2.924 2.331 As
2.532 1.462 5.542 As
-1.657 3.113 2.791 O
0.665 1.395 2.791 O
1.540 0.122 5.083 O
0.000 2.924 0.613 O
2.532 1.462 7.261 O
0.992 4.265 2.791 O
1.867 2.991 5.083 O
4.189 1.273 5.083 O
```

**Theoretical density**: 3.53 g cm⁻³
**Total magnetization**: 4.120 μB/f.u.
**VASP energy**: -5.979 eV/atom
**V**: 14.6 Å³ per atom
**N(E_F)**: 7.5 states/eV per cell